VASP calculation (GGA-PBE) on an optimized crystal structure of La2Tb6Dy.

Structure (extended XYZ):
```
18
Lattice="5.894 1.468 1.421 3.722 11.185 -1.517 3.722 -1.154 11.229" Properties=species:S:1:pos:R:3 pbc="T T T"
La 8.529 9.542 6.664
Tb 4.120 5.313 3.287
La 7.755 5.264 2.522
Tb 5.645 7.329 0.919
Tb 9.218 6.186 7.846
Tb 7.840 8.475 10.056
La 5.582 6.236 8.611
Tb 2.550 0.440 2.277
Tb 7.693 4.171 10.213
Tb 2.698 0.422 6.584
Tb 6.270 7.308 5.218
Tb 10.640 11.077 4.548
La 4.808 1.957 4.468
Tb 5.497 3.024 1.076
Dy 5.195 2.295 8.400
Dy 8.142 9.204 2.733
Tb 7.067 4.192 5.914
Tb 10.787 11.060 8.855
```

**DFT formation energy**: 0.11 eV per atom
**Raw total energy**: -4.59 eV per atom